{"formula": "MgBH2S", "functional": "PBE", "state": "optimized geometry", "lattice": [[3.2681, 0.0000, 0.0000], [0.0000, 3.2681, 0.0000], [0.0000, 0.0000, 6.5116]], "species": ["Mg", "B", "H", "H", "S"], "frac_coords": [[0.0000, 0.0000, 0.0000], [0.0000, 0.0000, 0.5000], [0.0000, 0.5000, 0.0000], [0.5000, 0.0000, 0.0000], [0.5000, 0.5000, 0.5000]], "m_tot_mub_per_fu": 0.00, "e_tot_ev_per_cell": -15.47, "space_group": "P4/mmm (123)", "dos_ef_per_ev_cell": 1.02}

***

{"formula": "BaZn2Br", "functional": "PBE", "state": "optimized geometry", "lattice": [[4.8619, 0.0000, 0.0000], [0.0000, 5.5200, 0.0000], [0.0000, 0.0000, 9.1629]], "species": ["Ba", "Ba", "Zn", "Zn", "Zn", "Zn", "Br", "Br"], "frac_coords": [[0.0000, 0.0000, 0.0000], [0.5000, 0.5000, 0.5000], [0.0000, 0.0000, 0.6010], [0.0000, 0.5000, 0.2241], [0.5000, 0.0000, 0.7241], [0.5000, 0.5000, 0.1010], [0.0000, 0.5000, 0.7673], [0.5000, 0.0000, 0.2673]], "de_polymorph_kj_per_mol_fu": 49, "m_tot_mub_per_fu": 0.00, "raw_formation_energy_kj_per_mol_atoms": -48.2, "space_group": "Imm2 (44)", "dos_ef_per_ev_cell": 5.66}

***

{"formula": "Li2NbPd8", "functional": "PBE", "state": "optimized geometry", "lattice": [[7.0108, -2.0050, 0.0000], [7.0108, 2.0050, 0.0000], [-1.7370, 0.0000, 5.9346]], "species": ["Li", "Li", "Nb", "Pd", "Pd", "Pd", "Pd", "Pd", "Pd", "Pd", "Pd"], "frac_coords": [[0.2252, 0.2252, 0.1437], [0.7748, 0.7748, 0.8563], [0.5000, 0.5000, 0.5000], [0.0443, 0.0443, 0.2281], [0.1378, 0.1378, 0.6839], [0.3183, 0.3183, 0.5804], [0.4059, 0.4059, 0.0447], [0.5941, 0.5941, 0.9553], [0.6817, 0.6817, 0.4196], [0.8622, 0.8622, 0.3161], [0.9557, 0.9557, 0.7719]], "m_tot_mub_per_fu": 0.00, "formation_enthalpy_0k_ev_per_atom": -0.343, "space_group": "C2/m (12)", "dos_ef_per_ev_cell": 5.95}